PBE Nd2Pd3Pb, optimized geometry; offset from the most stable computed form = 0.172 eV/f.u.; energy of formation = -613 meV per atom; space group = Fmmm (69)
1.0
5.794 -0.578 0.000
-0.802 5.767 0.000
-2.496 -2.595 8.486
Nd Pd Pb
4 6 2
Cartesian
-0.401 2.884 4.243
3.774 3.924 0.000
2.897 -0.289 4.243
1.217 1.266 0.000
0.809 4.217 1.361
-1.687 1.623 7.125
1.687 -1.623 7.125
4.183 0.972 1.361
0.000 0.000 2.949
2.496 2.595 5.537
2.496 2.595 2.764
0.000 0.000 5.722

***

PBE Nd2PdPb, optimized geometry; energy of formation = -619 meV per atom; space group = P4/mmm (123)
1.0
-3.460 -0.842 0.825
-0.571 -1.041 -3.457
2.294 -7.566 1.900
Pb Nd Pd
1 2 1
Cartesian
-0.868 -4.725 -0.366
1.794 -5.918 1.486
0.500 -1.648 0.414
-2.015 -0.942 -1.316

***

Sequential E_tot output: -0.1991; -0.1921 hartree per atom